[1]
{"formula": "NdErW", "functional": "PBE-GGA", "state": "optimized geometry", "lattice_angstrom": [[3.251, 0.695, 3.550], [1.776, 4.450, 0.833], [-1.274, 2.412, 4.026]], "species": ["Nd", "Er", "W"], "frac_coords": [[0.000, 0.000, 0.000], [0.250, 0.250, 0.250], [0.750, 0.750, 0.750]], "spacegroup": "F-43m", "delta_e_f_ev_per_atom": 1.499}

---

[2]
{"formula": "NdYEr", "functional": "PBE-GGA", "state": "optimized geometry", "lattice_angstrom": [[0.000, 3.860, 3.860], [3.860, 0.000, 3.860], [3.860, 3.860, 0.000]], "species": ["Nd", "Er", "Y"], "frac_coords": [[0.250, 0.250, 0.250], [0.000, 0.000, 0.000], [0.750, 0.750, 0.750]], "spacegroup": "F-43m", "delta_e_f_ev_per_atom": 0.708}

---

[3]
{"formula": "NdErZn6", "functional": "PBE-GGA", "state": "optimized geometry", "lattice_angstrom": [[4.705, 0.000, 0.000], [0.000, 6.681, 0.000], [0.000, 0.000, 4.706]], "species": ["Nd", "Zn", "Zn", "Zn", "Zn", "Zn", "Zn", "Er"], "frac_coords": [[0.500, 0.500, 0.253], [0.500, 0.000, 0.252], [0.500, 0.761, 0.753], [0.000, 0.239, 0.247], [0.500, 0.239, 0.753], [0.000, 0.500, 0.749], [0.000, 0.761, 0.247], [0.000, 0.000, 0.747]], "spacegroup": "Pmm2", "delta_e_f_ev_per_atom": -0.280}

---

[4]
{"formula": "NdErZn6", "functional": "PBE-GGA", "state": "optimized geometry", "lattice_angstrom": [[-2.064, 1.009, -4.109], [2.996, -2.881, -2.212], [-4.234, -5.079, 0.880]], "species": ["Nd", "Zn", "Zn", "Zn", "Zn", "Zn", "Zn", "Er"], "frac_coords": [[0.000, 0.000, 0.000], [0.000, 0.500, 0.738], [0.500, 0.000, 0.738], [0.000, 0.500, 0.262], [0.500, 0.000, 0.262], [0.000, 0.000, 0.500], [0.500, 0.500, 0.000], [0.500, 0.500, 0.500]], "spacegroup": "P4/mmm", "delta_e_f_ev_per_atom": -0.280}

---

[5]
{"formula": "NdErZn4", "functional": "PBE-GGA", "state": "optimized geometry", "lattice_angstrom": [[5.423, 0.274, -1.690], [1.027, 0.766, 5.541], [-1.934, -4.400, -3.040]], "species": ["Zn", "Zn", "Zn", "Zn", "Nd", "Er"], "frac_coords": [[0.460, 0.164, 0.296], [0.868, 0.164, 0.704], [0.039, 0.833, 0.206], [0.626, 0.833, 0.794], [0.034, 0.534, 0.500], [0.473, 0.473, 0.000]], "spacegroup": "Imm2", "delta_e_f_ev_per_atom": -0.372}

---

[6]
{"formula": "NdErZr", "functional": "PBE-GGA", "state": "optimized geometry", "lattice_angstrom": [[0.951, -4.250, 2.866], [-3.416, -3.938, 0.036], [1.192, -4.506, -2.336]], "species": ["Er", "Nd", "Zr"], "frac_coords": [[0.000, 0.000, 0.000], [0.250, 0.250, 0.250], [0.750, 0.750, 0.750]], "spacegroup": "F-43m", "delta_e_f_ev_per_atom": 0.928}

---

[7]
{"formula": "ErNi4", "functional": "PBE-GGA", "state": "optimized geometry", "lattice_angstrom": [[-0.112, 4.734, -0.993], [-4.120, -2.481, 0.525], [1.477, 1.280, 9.979]], "species": ["Ni", "Ni", "Ni", "Ni", "Ni", "Ni", "Ni", "Ni", "Ni", "Ni", "Ni", "Ni", "Er", "Er", "Er"], "frac_coords": [[0.667, 0.333, 0.000], [0.571, 0.571, 0.200], [0.932, 0.432, 0.802], [0.068, 0.568, 0.198], [0.535, 0.190, 0.595], [0.568, 0.068, 0.198], [0.810, 0.465, 0.405], [0.432, 0.932, 0.802], [0.429, 0.429, 0.800], [0.465, 0.810, 0.405], [0.333, 0.667, 0.000], [0.190, 0.535, 0.595], [0.130, 0.130, 0.356], [0.000, 0.000, 0.000], [0.870, 0.870, 0.644]], "spacegroup": "C2/m", "delta_e_f_ev_per_atom": -0.381}

---

[8]
{"formula": "Er2Ni7", "functional": "PBE-GGA", "state": "optimized geometry", "lattice_angstrom": [[2.443, 1.410, 12.019], [-2.443, 1.410, 12.019], [0.000, -2.821, 12.019]], "species": ["Ni", "Ni", "Ni", "Ni", "Ni", "Ni", "Ni", "Ni", "Ni", "Ni", "Ni", "Ni", "Ni", "Ni", "Er", "Er", "Er", "Er"], "frac_coords": [[0.722, 0.722, 0.722], [0.109, 0.611, 0.611], [0.278, 0.278, 0.278], [0.500, 0.500, 0.500], [0.389, 0.389, 0.891], [0.611, 0.109, 0.611], [0.388, 0.388, 0.388], [0.891, 0.389, 0.389], [0.389, 0.891, 0.389], [0.612, 0.612, 0.612], [0.500, 0.500, 0.000], [0.611, 0.611, 0.109], [0.500, 0.000, 0.500], [0.000, 0.500, 0.500], [0.147, 0.147, 0.147], [0.051, 0.051, 0.051], [0.949, 0.949, 0.949], [0.853, 0.853, 0.853]], "spacegroup": "R-3m", "delta_e_f_ev_per_atom": -0.412}

---

[9]
{"formula": "Er2Ni17", "functional": "PBE-GGA", "state": "optimized geometry", "lattice_angstrom": [[-2.838, 4.160, 6.520], [5.028, -6.438, 1.091], [6.327, 4.881, -0.360]], "species": ["Ni", "Ni", "Ni", "Ni", "Ni", "Ni", "Ni", "Ni", "Ni", "Ni", "Ni", "Ni", "Ni", "Ni", "Ni", "Ni", "Ni", "Ni", "Ni", "Ni", "Ni", "Ni", "Ni", "Ni", "Ni", "Ni", "Ni", "Ni", "Ni", "Ni", "Ni", "Ni", "Ni", "Ni", "Er", "Er", "Er", "Er"], "frac_coords": [[0.370, 0.328, 0.750], [0.630, 0.958, 0.250], [0.630, 0.672, 0.250], [0.000, 0.500, 0.500], [0.328, 0.958, 0.250], [0.835, 0.669, 0.479], [0.500, 0.500, 0.500], [0.667, 0.333, 0.601], [0.333, 0.667, 0.101], [0.328, 0.370, 0.250], [0.165, 0.835, 0.521], [0.165, 0.331, 0.979], [0.669, 0.835, 0.521], [0.500, 0.000, 0.000], [0.669, 0.835, 0.979], [0.042, 0.370, 0.250], [0.672, 0.630, 0.750], [0.165, 0.331, 0.521], [0.958, 0.328, 0.750], [0.333, 0.667, 0.399], [0.835, 0.165, 0.479], [0.000, 0.500, 0.000], [0.500, 0.000, 0.500], [0.958, 0.630, 0.750], [0.667, 0.333, 0.899], [0.042, 0.672, 0.250], [0.835, 0.669, 0.021], [0.331, 0.165, 0.479], [0.331, 0.165, 0.021], [0.672, 0.042, 0.750], [0.500, 0.500, 0.000], [0.370, 0.042, 0.750], [0.165, 0.835, 0.979], [0.835, 0.165, 0.021], [0.333, 0.667, 0.750], [0.000, 0.000, 0.250], [0.667, 0.333, 0.250], [0.000, 0.000, 0.750]], "spacegroup": "P6_3/mmc", "delta_e_f_ev_per_atom": -0.211}

---

[10]
{"formula": "Er8Ni", "functional": "PBE-GGA", "state": "optimized geometry", "lattice_angstrom": [[-8.368, 1.708, -2.777], [2.868, -8.484, 0.659], [-1.153, -0.126, 3.396]], "species": ["Er", "Er", "Er", "Er", "Er", "Er", "Er", "Er", "Ni"], "frac_coords": [[0.238, 0.000, 0.500], [0.333, 0.667, 0.500], [0.762, 0.762, 0.500], [0.667, 0.333, 0.500], [0.000, 0.611, 0.000], [0.389, 0.389, 0.000], [0.611, 0.000, 0.000], [0.000, 0.238, 0.500], [0.000, 0.000, 0.000]], "spacegroup": "P-62m", "delta_e_f_ev_per_atom": -0.102}

---

[11]
{"formula": "Er2Ni7", "functional": "PBE-GGA", "state": "optimized geometry", "lattice_angstrom": [[-3.749, -3.150, -0.212], [4.565, -1.663, 0.644], [-2.749, 1.669, 23.809]], "species": ["Ni", "Ni", "Ni", "Ni", "Ni", "Ni", "Ni", "Ni", "Ni", "Ni", "Ni", "Ni", "Ni", "Ni", "Ni", "Ni", "Ni", "Ni", "Ni", "Ni", "Ni", "Ni", "Ni", "Ni", "Ni", "Ni", "Ni", "Ni", "Er", "Er", "Er", "Er", "Er", "Er", "Er", "Er"], "frac_coords": [[0.335, 0.167, 0.085], [0.000, 0.000, 0.667], [0.167, 0.833, 0.915], [0.665, 0.833, 0.585], [0.000, 0.000, 0.000], [0.833, 0.665, 0.415], [0.167, 0.334, 0.750], [0.333, 0.667, 0.833], [0.167, 0.335, 0.585], [0.667, 0.333, 0.333], [0.334, 0.167, 0.250], [0.833, 0.167, 0.250], [0.000, 0.000, 0.333], [0.665, 0.833, 0.915], [0.167, 0.833, 0.585], [0.666, 0.833, 0.750], [0.833, 0.665, 0.085], [0.167, 0.833, 0.750], [0.000, 0.000, 0.167], [0.167, 0.335, 0.915], [0.833, 0.167, 0.415], [0.667, 0.333, 0.167], [0.335, 0.167, 0.415], [0.833, 0.167, 0.085], [0.333, 0.667, 0.667], [0.000, 0.000, 0.500], [0.833, 0.666, 0.250], [0.000, 0.000, 0.833], [0.667, 0.333, 0.826], [0.667, 0.333, 0.674], [0.333, 0.667, 0.471], [0.667, 0.333, 0.971], [0.333, 0.667, 0.029], [0.333, 0.667, 0.326], [0.333, 0.667, 0.174], [0.667, 0.333, 0.529]], "spacegroup": "P6_3/mmc", "delta_e_f_ev_per_atom": -0.413}

---

[12]
{"formula": "Er5Ni2", "functional": "PBE-GGA", "state": "optimized geometry", "lattice_angstrom": [[2.785, 7.915, -1.849], [-3.429, 7.459, -2.535], [-0.809, 1.075, 6.613]], "species": ["Ni", "Ni", "Ni", "Ni", "Er", "Er", "Er", "Er", "Er", "Er", "Er", "Er", "Er", "Er"], "frac_coords": [[0.815, 0.405, 0.568], [0.595, 0.185, 0.932], [0.185, 0.595, 0.432], [0.405, 0.815, 0.068], [0.566, 0.434, 0.250], [0.014, 0.795, 0.078], [0.205, 0.986, 0.422], [0.650, 0.783, 0.811], [0.217, 0.350, 0.689], [0.986, 0.205, 0.922], [0.350, 0.217, 0.189], [0.795, 0.014, 0.578], [0.783, 0.650, 0.311], [0.434, 0.566, 0.750]], "spacegroup": "C2/c", "delta_e_f_ev_per_atom": -0.296}

---

[13]
{"formula": "ErNiOs", "functional": "PBE-GGA", "state": "optimized geometry", "lattice_angstrom": [[2.605, 0.234, 3.518], [-1.558, -1.069, 3.956], [1.357, -3.673, 1.971]], "species": ["Ni", "Os", "Er"], "frac_coords": [[0.250, 0.250, 0.250], [0.750, 0.750, 0.750], [0.000, 0.000, 0.000]], "spacegroup": "F-43m", "delta_e_f_ev_per_atom": 1.021}

---

[14]
{"formula": "ErNiOs", "functional": "PBE-GGA", "state": "optimized geometry", "lattice_angstrom": [[-4.210, 0.447, 0.705], [-2.558, 1.448, -3.128], [-2.787, -2.657, -1.896]], "species": ["Ni", "Os", "Er"], "frac_coords": [[0.000, 0.000, 0.000], [0.750, 0.750, 0.750], [0.250, 0.250, 0.250]], "spacegroup": "F-43m", "delta_e_f_ev_per_atom": 0.276}

---

[15]
{"formula": "ErSi2NiOs", "functional": "PBE-GGA", "state": "optimized geometry", "lattice_angstrom": [[-1.979, 1.979, 4.991], [1.979, -1.979, 4.991], [1.979, 1.979, -4.991]], "species": ["Si", "Si", "Er", "Os", "Ni"], "frac_coords": [[0.371, 0.871, 0.500], [0.129, 0.629, 0.500], [0.750, 0.250, 0.500], [0.500, 0.500, 0.000], [0.000, 0.000, 0.000]], "spacegroup": "I-4m2", "total_energy_ev_per_atom": -7.22}

---

[16]
{"formula": "ErNi3P2", "functional": "PBE-GGA", "state": "optimized geometry", "lattice_angstrom": [[3.845, 0.000, 0.000], [-1.922, 3.330, 0.000], [0.000, 0.000, 6.323]], "species": ["P", "P", "Er", "Ni", "Ni", "Ni"], "frac_coords": [[0.333, 0.667, 0.286], [0.667, 0.333, 0.714], [0.000, 0.000, 0.000], [0.333, 0.667, 0.673], [0.667, 0.333, 0.327], [0.000, 0.000, 0.500]], "spacegroup": "P-3m1", "total_energy_ev_per_atom": -6.19}

---

[17]
{"formula": "Er2Ni3P", "functional": "PBE-GGA", "state": "optimized geometry", "lattice_angstrom": [[-1.152, -2.565, 4.085], [3.102, -3.577, 1.475], [2.694, 0.772, 4.092]], "species": ["Ni", "Ni", "Ni", "Er", "Er", "P"], "frac_coords": [[0.000, 0.500, 0.000], [0.500, 0.000, 0.000], [0.000, 0.000, 0.500], [0.376, 0.376, 0.376], [0.624, 0.624, 0.624], [0.000, 0.000, 0.000]], "spacegroup": "R-3m", "total_energy_ev_per_atom": -5.85}

---

[18]
{"formula": "ErSiNi2P", "functional": "PBE-GGA", "state": "optimized geometry", "lattice_angstrom": [[3.197, -4.066, -1.771], [3.938, -1.963, 3.244], [-5.330, 1.180, 0.293]], "species": ["Er", "Si", "P", "Ni", "Ni"], "frac_coords": [[0.002, 0.002, 0.000], [0.377, 0.377, 0.000], [0.623, 0.623, 0.000], [0.249, 0.749, 0.500], [0.749, 0.249, 0.500]], "spacegroup": "I4mm", "total_energy_ev_per_atom": -6.28}

---

[19]
{"formula": "Er2PaNi9", "functional": "PBE-GGA", "state": "optimized geometry", "lattice_angstrom": [[2.449, 1.414, 8.102], [-2.449, 1.414, 8.102], [0.000, -2.827, 8.102]], "species": ["Ni", "Ni", "Ni", "Ni", "Ni", "Ni", "Ni", "Ni", "Ni", "Er", "Er", "Pa"], "frac_coords": [[0.500, 0.500, 0.500], [0.081, 0.583, 0.583], [0.333, 0.333, 0.333], [0.583, 0.583, 0.081], [0.919, 0.417, 0.417], [0.583, 0.081, 0.583], [0.417, 0.417, 0.919], [0.417, 0.919, 0.417], [0.667, 0.667, 0.667], [0.860, 0.860, 0.860], [0.140, 0.140, 0.140], [0.000, 0.000, 0.000]], "spacegroup": "R-3m", "delta_e_f_ev_per_atom": -0.449}

---

[20]
{"formula": "ErPaNi", "functional": "PBE-GGA", "state": "optimized geometry", "lattice_angstrom": [[0.000, 3.274, 3.274], [3.274, 0.000, 3.274], [3.274, 3.274, 0.000]], "species": ["Ni", "Er", "Pa"], "frac_coords": [[0.250, 0.250, 0.250], [0.000, 0.000, 0.000], [0.500, 0.500, 0.500]], "spacegroup": "F-43m", "delta_e_f_ev_per_atom": 0.150}